[1]
AcScCd17 after structural relaxation. Source: the Alexandria database, functional GGA-PBE.

Cell: 7.710 7.710 7.710 Å, 81.94 81.94 81.94°
Atoms (fractional coordinates):
1 Ac 0.000 0.000 0.000
2 Sc 0.652 0.652 0.652
3 Cd 0.032 0.337 0.629
4 Cd 0.032 0.629 0.337
5 Cd 0.217 0.681 0.681
6 Cd 0.244 0.244 0.244
7 Cd 0.310 0.310 0.859
8 Cd 0.310 0.859 0.310
9 Cd 0.337 0.032 0.629
10 Cd 0.337 0.629 0.032
11 Cd 0.441 0.441 0.441
12 Cd 0.546 0.944 0.944
13 Cd 0.629 0.032 0.337
14 Cd 0.629 0.337 0.032
15 Cd 0.681 0.217 0.681
16 Cd 0.681 0.681 0.217
17 Cd 0.859 0.310 0.310
18 Cd 0.944 0.546 0.944
19 Cd 0.944 0.944 0.546

Calculated values
The value obtained for the density of states at the Fermi level is 0.327 states/eV per atom. The value obtained for the formation energy from the elements is -0.11 eV/atom. The value obtained for the total energy is -1.474 eV per atom.

---

[2]
AcSc2Cd after structural relaxation. Source: the Alexandria database, functional GGA-PBE.

Cell: 11.588 11.588 11.588 Å, 17.06 17.06 17.06°
Atoms (fractional coordinates):
1 Ac 0.000 0.000 0.000
2 Sc 0.098 0.098 0.098
3 Sc 0.902 0.902 0.902
4 Cd 0.500 0.500 0.500

Calculated values
The value obtained for the density of states at the Fermi level is 1.328 states/eV per atom. The value obtained for the formation energy from the elements is 0.22 eV/atom. The value obtained for the total energy is -4.201 eV per atom.

---

[3]
Ac4ScCd3 after structural relaxation. Source: the Alexandria database, functional GGA-PBE.

Cell: 10.014 10.014 10.014 Å, 33.40 33.40 33.40°
Atoms (fractional coordinates):
1 Ac 0.124 0.124 0.124
2 Ac 0.375 0.375 0.375
3 Ac 0.625 0.625 0.625
4 Ac 0.876 0.876 0.876
5 Sc 0.500 0.500 0.500
6 Cd 0.000 0.000 0.000
7 Cd 0.247 0.247 0.247
8 Cd 0.753 0.753 0.753

Calculated values
The value obtained for the density of states at the Fermi level is 1.038 states/eV per atom. The value obtained for the formation energy from the elements is -0.16 eV/atom. The value obtained for the total energy is -3.352 eV per atom.

---

[4]
Ac2ScCd after structural relaxation. Source: the Alexandria database, functional GGA-PBE.

Cell: 5.882 5.882 3.891 Å, 90.00 90.00 90.00°
Atoms (fractional coordinates):
1 Ac 0.000 0.500 0.000
2 Ac 0.500 0.000 0.000
3 Sc 0.000 0.000 0.500
4 Cd 0.500 0.500 0.500

Calculated values
The value obtained for the density of states at the Fermi level is 1.209 states/eV per atom. The value obtained for the formation energy from the elements is -0.07 eV/atom. The value obtained for the total energy is -3.940 eV per atom.

---

[5]
Ac4ScCd5 after structural relaxation. Source: the Alexandria database, functional GGA-PBE.

Cell: 3.943 3.943 20.206 Å, 90.00 90.00 90.00°
Atoms (fractional coordinates):
1 Ac 0.000 0.000 0.105
2 Ac 0.000 0.000 0.316
3 Ac 0.000 0.000 0.684
4 Ac 0.000 0.000 0.895
5 Sc 0.000 0.000 0.500
6 Cd 0.500 0.500 0.000
7 Cd 0.500 0.500 0.210
8 Cd 0.500 0.500 0.425
9 Cd 0.500 0.500 0.575
10 Cd 0.500 0.500 0.790

Calculated values
The value obtained for the density of states at the Fermi level is 1.256 states/eV per atom. The value obtained for the formation energy from the elements is -0.26 eV/atom. The value obtained for the total energy is -2.991 eV per atom.

---

[6]
Ac2Sc2Cd15 after structural relaxation. Source: the Alexandria database, functional GGA-PBE.

Cell: 7.829 7.829 7.829 Å, 81.29 81.29 81.29°
Atoms (fractional coordinates):
1 Ac 0.165 0.165 0.165
2 Ac 0.835 0.835 0.835
3 Sc 0.403 0.403 0.403
4 Sc 0.597 0.597 0.597
5 Cd 0.000 0.500 0.500
6 Cd 0.140 0.140 0.649
7 Cd 0.140 0.649 0.140
8 Cd 0.213 0.500 0.787
9 Cd 0.213 0.787 0.500
10 Cd 0.351 0.860 0.860
11 Cd 0.500 0.000 0.500
12 Cd 0.500 0.213 0.787
13 Cd 0.500 0.500 0.000
14 Cd 0.500 0.787 0.213
15 Cd 0.649 0.140 0.140
16 Cd 0.787 0.213 0.500
17 Cd 0.787 0.500 0.213
18 Cd 0.860 0.351 0.860
19 Cd 0.860 0.860 0.351

Calculated values
The value obtained for the density of states at the Fermi level is 0.616 states/eV per atom. The value obtained for the formation energy from the elements is -0.19 eV/atom. The value obtained for the total energy is -2.011 eV per atom.

---

[7]
Ac2ScCd after structural relaxation. Source: the Alexandria database, functional GGA-PBE.

Cell: 5.764 5.764 5.764 Å, 60.00 60.00 60.00°
Atoms (fractional coordinates):
1 Ac 0.250 0.250 0.250
2 Ac 0.750 0.750 0.750
3 Sc 0.000 0.000 0.000
4 Cd 0.500 0.500 0.500

Calculated values
The value obtained for the density of states at the Fermi level is 1.212 states/eV per atom. The value obtained for the formation energy from the elements is -0.02 eV/atom. The value obtained for the total energy is -3.883 eV per atom.

---

[8]
AcScCd2 after structural relaxation. Source: the Alexandria database, functional GGA-PBE.

Cell: 3.726 3.726 7.941 Å, 90.00 90.00 90.00°
Atoms (fractional coordinates):
1 Ac 0.000 0.000 0.000
2 Sc 0.000 0.000 0.500
3 Cd 0.500 0.500 0.299
4 Cd 0.500 0.500 0.701

Calculated values
The value obtained for the density of states at the Fermi level is 1.018 states/eV per atom. The value obtained for the formation energy from the elements is -0.25 eV/atom. The value obtained for the total energy is -3.317 eV per atom.

---

[9]
AcScCd2 after structural relaxation. Source: the Alexandria database, functional GGA-PBE.

Cell: 5.423 5.423 3.871 Å, 90.00 90.00 90.00°
Atoms (fractional coordinates):
1 Ac 0.000 0.000 0.000
2 Sc 0.500 0.500 0.000
3 Cd 0.000 0.500 0.500
4 Cd 0.500 0.000 0.500

Calculated values
The value obtained for the density of states at the Fermi level is 1.109 states/eV per atom. The value obtained for the formation energy from the elements is -0.14 eV/atom. The value obtained for the total energy is -3.208 eV per atom.

---

[10]
Ac2ScCd after structural relaxation. Source: the Alexandria database, functional GGA-PBE.

Cell: 12.726 12.726 12.726 Å, 16.80 16.80 16.80°
Atoms (fractional coordinates):
1 Ac 0.092 0.092 0.092
2 Ac 0.908 0.908 0.908
3 Sc 0.500 0.500 0.500
4 Cd 0.000 0.000 0.000

Calculated values
The value obtained for the density of states at the Fermi level is 1.225 states/eV per atom. The value obtained for the formation energy from the elements is 0.25 eV/atom. The value obtained for the total energy is -3.613 eV per atom.

---

[11]
AcSc2Cd after structural relaxation. Source: the Alexandria database, functional GGA-PBE.

Cell: 3.636 3.636 8.383 Å, 90.00 90.00 90.00°
Atoms (fractional coordinates):
1 Ac 0.000 0.000 0.000
2 Sc 0.500 0.500 0.297
3 Sc 0.500 0.500 0.703
4 Cd 0.000 0.000 0.500

Calculated values
The value obtained for the density of states at the Fermi level is 1.470 states/eV per atom. The value obtained for the formation energy from the elements is -0.05 eV/atom. The value obtained for the total energy is -4.476 eV per atom.

---

[12]
AcSc2Cd after structural relaxation. Source: the Alexandria database, functional GGA-PBE.

Cell: 5.362 5.362 3.789 Å, 90.00 90.00 90.00°
Atoms (fractional coordinates):
1 Ac 0.000 0.000 0.000
2 Sc 0.000 0.500 0.500
3 Sc 0.500 0.000 0.500
4 Cd 0.500 0.500 0.000

Calculated values
The value obtained for the density of states at the Fermi level is 1.716 states/eV per atom. The value obtained for the formation energy from the elements is 0.09 eV/atom. The value obtained for the total energy is -4.333 eV per atom.

---

[13]
AcScCd2 after structural relaxation. Source: the Alexandria database, functional GGA-PBE.

Cell: 10.332 10.332 10.332 Å, 20.35 20.35 20.35°
Atoms (fractional coordinates):
1 Ac 0.000 0.000 0.000
2 Sc 0.500 0.500 0.500
3 Cd 0.239 0.239 0.239
4 Cd 0.761 0.761 0.761

Calculated values
The value obtained for the density of states at the Fermi level is 0.998 states/eV per atom. The value obtained for the formation energy from the elements is -0.05 eV/atom. The value obtained for the total energy is -3.115 eV per atom.

---

[14]
Ac2ScCdSe5 after structural relaxation. Source: the Alexandria database, functional GGA-PBE.

Cell: 9.277 9.277 12.784 Å, 90.00 90.00 153.69°
Atoms (fractional coordinates):
1 Ac 0.118 0.882 0.500
2 Ac 0.137 0.863 0.118
3 Ac 0.863 0.137 0.618
4 Ac 0.882 0.118 0.000
5 Sc 0.202 0.798 0.824
6 Sc 0.798 0.202 0.324
7 Cd 0.454 0.546 0.265
8 Cd 0.546 0.454 0.765
9 Se 0.053 0.947 0.881
10 Se 0.288 0.712 0.468
11 Se 0.309 0.691 0.174
12 Se 0.354 0.646 0.813
13 Se 0.494 0.506 0.578
14 Se 0.506 0.494 0.078
15 Se 0.646 0.354 0.313
16 Se 0.691 0.309 0.674
17 Se 0.712 0.288 0.968
18 Se 0.947 0.053 0.381

Calculated values
The value obtained for the density of states at the Fermi level is 0.278 states/eV per atom. The value obtained for the total energy is -5.248 eV per atom. The value obtained for the formation energy (no corrections) is -153.8 kJ/mol of atoms.

---

[15]
AcSmScCd after structural relaxation. Source: the Alexandria database, functional GGA-PBE.

Cell: 5.535 5.535 5.535 Å, 60.00 60.00 60.00°
Atoms (fractional coordinates):
1 Ac 0.000 0.000 0.000
2 Sm 0.250 0.250 0.250
3 Sc 0.750 0.750 0.750
4 Cd 0.500 0.500 0.500

Calculated values
The value obtained for the density of states at the Fermi level is 1.954 states/eV per atom. The value obtained for the formation energy from the elements is 0.10 eV/atom. The value obtained for the total energy is -3.916 eV per atom.

---

[16]
AcScCdSn after structural relaxation. Source: the Alexandria database, functional GGA-PBE.

Cell: 5.434 5.434 5.434 Å, 60.00 60.00 60.00°
Atoms (fractional coordinates):
1 Ac 0.000 0.000 0.000
2 Sc 0.500 0.500 0.500
3 Cd 0.250 0.250 0.250
4 Sn 0.750 0.750 0.750

Calculated values
The value obtained for the density of states at the Fermi level is 0.800 states/eV per atom. The value obtained for the formation energy from the elements is -0.37 eV/atom. The value obtained for the total energy is -4.205 eV per atom.

---

[17]
AcTbScCd after structural relaxation. Source: the Alexandria database, functional GGA-PBE.

Cell: 5.566 5.566 5.566 Å, 60.00 60.00 60.00°
Atoms (fractional coordinates):
1 Ac 0.000 0.000 0.000
2 Tb 0.500 0.500 0.500
3 Sc 0.750 0.750 0.750
4 Cd 0.250 0.250 0.250

Calculated values
The value obtained for the density of states at the Fermi level is 1.349 states/eV per atom. The value obtained for the formation energy from the elements is -0.01 eV/atom. The value obtained for the total energy is -4.004 eV per atom.

---

[18]
Ac2ScCdTe5 after structural relaxation. Source: the Alexandria database, functional GGA-PBE.

Cell: 10.040 10.040 13.564 Å, 90.00 90.00 154.22°
Atoms (fractional coordinates):
1 Ac 0.118 0.882 0.500
2 Ac 0.134 0.866 0.119
3 Ac 0.866 0.134 0.619
4 Ac 0.882 0.118 0.000
5 Sc 0.200 0.800 0.826
6 Sc 0.800 0.200 0.326
7 Cd 0.441 0.559 0.266
8 Cd 0.559 0.441 0.766
9 Te 0.051 0.949 0.885
10 Te 0.287 0.713 0.472
11 Te 0.306 0.694 0.170
12 Te 0.352 0.648 0.814
13 Te 0.496 0.504 0.584
14 Te 0.504 0.496 0.084
15 Te 0.648 0.352 0.314
16 Te 0.694 0.306 0.670
17 Te 0.713 0.287 0.972
18 Te 0.949 0.051 0.385

Calculated values
The value obtained for the density of states at the Fermi level is 0.399 states/eV per atom. The value obtained for the total energy is -4.676 eV per atom. The value obtained for the formation energy (no corrections) is -116.9 kJ/mol of atoms.

---

[19]
AcTmScCd after structural relaxation. Source: the Alexandria database, functional GGA-PBE.

Cell: 5.480 5.480 5.480 Å, 60.00 60.00 60.00°
Atoms (fractional coordinates):
1 Ac 0.000 0.000 0.000
2 Tm 0.250 0.250 0.250
3 Sc 0.750 0.750 0.750
4 Cd 0.500 0.500 0.500

Calculated values
The value obtained for the density of states at the Fermi level is 1.857 states/eV per atom. The value obtained for the formation energy from the elements is 0.13 eV/atom. The value obtained for the total energy is -3.827 eV per atom.

---

[20]
AcYScCd after structural relaxation. Source: the Alexandria database, functional GGA-PBE.

Cell: 5.567 5.567 5.567 Å, 60.00 60.00 60.00°
Atoms (fractional coordinates):
1 Ac 0.000 0.000 0.000
2 Y 0.500 0.500 0.500
3 Sc 0.250 0.250 0.250
4 Cd 0.750 0.750 0.750

Calculated values
The value obtained for the density of states at the Fermi level is 1.347 states/eV per atom. The value obtained for the formation energy from the elements is -0.01 eV/atom. The value obtained for the total energy is -4.469 eV per atom.